Run i
3
Lattice="-3.716 -2.104 1.451 -0.469 -4.441 -0.633 0.230 -2.815 3.516" Properties=species:S:1:pos:R:3 comment="ZrPCl | Alexandria via LeMat-Bulk | PBE | relaxed" space_group="F-43m (216)" n_ef_per_ev_atom=0.0244 pbc="T T T"
Cl 0.000 0.000 0.000
P -1.978 -4.680 2.167
Zr -2.967 -7.021 3.251

Run ii
6
Lattice="-1.756 -4.574 -0.883 1.524 2.513 -2.016 7.629 -3.383 2.349" Properties=species:S:1:pos:R:3 comment="ZrPCl | Alexandria via LeMat-Bulk | PBE | relaxed" space_group="C2/m (12)" n_ef_per_ev_atom=0.6358 pbc="T T T"
Zr 1.319 -0.315 -0.991
Zr 6.079 -5.128 0.442
P 3.862 -1.416 -0.347
P 3.536 -4.027 -0.203
Cl 6.337 -2.577 0.748
Cl 1.061 -2.866 -1.298

Quick one: most stable of them? run i

Run i
3
Lattice="-0.438 -3.170 -6.744 2.714 -3.370 -5.905 -1.017 -3.055 0.553" Properties=species:S:1:pos:R:3 comment="ZrPCl | Alexandria via LeMat-Bulk | PBE | relaxed" space_group="Fmm2 (42)" n_ef_per_ev_atom=0.2064 pbc="T T T"
Cl -0.871 -3.210 -0.033
P -0.096 -4.031 -3.142
Zr 1.208 -5.410 -8.368

Run ii
3
Lattice="-1.647 1.647 6.524 1.647 -1.647 6.524 1.647 1.647 -6.524" Properties=species:S:1:pos:R:3 comment="ZrPCl | Alexandria via LeMat-Bulk | PBE | relaxed" space_group="I4mm (107)" n_ef_per_ev_atom=0.4670 pbc="T T T"
Zr 0.000 0.000 4.156
P 0.000 0.000 9.433
Cl 0.000 0.000 12.507

Run iii
6
Lattice="-0.155 -3.628 0.473 3.370 -0.054 0.691 -2.151 1.670 10.619" Properties=species:S:1:pos:R:3 comment="ZrPCl | Alexandria via LeMat-Bulk | PBE | relaxed" space_group="P2_1/m (11)" n_ef_per_ev_atom=0.1349 pbc="T T T"
Zr -0.625 0.303 7.352
Zr 1.689 -2.315 4.431
P -0.107 -0.361 4.774
P 1.171 -1.651 7.009
Cl 0.391 -2.474 2.182
Cl 0.673 0.462 9.601

Run iv
3
Lattice="-2.798 -1.411 2.006 3.282 0.688 1.611 -2.024 6.144 1.498" Properties=species:S:1:pos:R:3 comment="ZrPCl | Alexandria via LeMat-Bulk | PBE | relaxed" space_group="P3m1 (156)" n_ef_per_ev_atom=0.0000 pbc="T T T"
Cl -1.835 5.570 1.358
P -1.676 2.036 2.545
Zr -0.053 3.961 2.711

Quick one: most stable of them? run iii

Run i
6
Lattice="1.854 -3.211 0.000 1.854 3.211 0.000 0.000 0.000 13.031" Properties=species:S:1:pos:R:3 comment="ZrPCl | Alexandria via LeMat-Bulk | PBE | relaxed" space_group="P-3m1 (164)" n_ef_per_ev_atom=0.0000 pbc="T T T"
Zr 0.000 0.000 2.838
Zr 0.000 0.000 10.194
P 1.854 -1.070 1.500
P 1.854 1.070 11.532
Cl 1.854 1.070 4.580
Cl 1.854 -1.070 8.451

Run ii
6
Lattice="3.563 0.001 -0.001 1.782 4.523 -0.002 0.064 0.289 9.675" Properties=species:S:1:pos:R:3 comment="ZrPCl | Alexandria via LeMat-Bulk | PBE | relaxed" space_group="P1 (1)" n_ef_per_ev_atom=0.0204 pbc="T T T"
Zr 0.724 0.996 4.946
Zr 4.288 3.271 2.181
P 2.506 2.857 4.205
P 0.725 0.637 2.481
Cl 2.506 2.661 0.345
Cl 2.506 0.368 6.736

Quick one: most stable of them? run ii

Run i
10
Lattice="-2.861 0.618 6.488 6.977 -1.407 0.078 -0.880 6.234 -3.320" Properties=species:S:1:pos:R:3 comment="PaCl4 | Alexandria via LeMat-Bulk | PBE | relaxed" space_group="I4_1/amd (141)" n_ef_per_ev_atom=0.8677 pbc="T T T"
Cl -1.311 3.701 3.044
Cl 0.145 5.655 -2.254
Cl -0.259 0.458 4.305
Cl 2.030 2.270 3.088
Cl 3.091 -0.210 5.500
Cl 4.547 1.744 0.201
Cl 3.495 4.987 -1.060
Cl 1.206 3.175 0.158
Pa -0.421 1.615 1.613
Pa 3.657 3.831 1.633

Run ii
5
Lattice="-3.176 -1.066 4.140 -2.764 -3.422 -3.002 3.261 -3.939 1.488" Properties=species:S:1:pos:R:3 comment="PaCl4 | Alexandria via LeMat-Bulk | PBE | relaxed" space_group="Pm-3m (221)" n_ef_per_ev_atom=2.0622 pbc="T T T"
Pa -1.339 -4.214 1.313
Cl 0.000 0.000 0.000
Cl 0.043 -2.503 2.814
Cl 0.249 -3.681 -0.757
Cl -2.970 -2.244 0.569

Quick one: most stable of them? run i

Run i
11
Lattice="4.583 0.000 0.000 0.000 6.890 0.420 -2.292 -2.446 9.818" Properties=species:S:1:pos:R:3 comment="PaPb2Cl8 | Alexandria via LeMat-Bulk | PBE | relaxed" space_group="C2/m (12)" n_ef_per_ev_atom=0.4939 pbc="T T T"
Pa 2.292 0.000 0.000
Pb 2.292 1.099 6.725
Pb 0.000 3.345 3.513
Cl 0.000 2.285 8.213
Cl 2.292 5.732 2.825
Cl 2.292 3.564 5.449
Cl 2.292 -0.854 9.712
Cl 0.000 0.880 4.789
Cl 0.000 -1.288 7.414
Cl 2.292 2.159 2.025
Cl 0.000 5.298 0.526

Run ii
11
Lattice="6.067 0.000 -2.890 0.068 7.685 0.144 0.141 0.152 8.109" Properties=species:S:1:pos:R:3 comment="PaPb2Cl8 | Alexandria via LeMat-Bulk | PBE | relaxed" space_group="C2/m (12)" n_ef_per_ev_atom=0.0420 pbc="T T T"
Pa 0.000 0.000 0.000
Pb 0.928 3.718 1.947
Pb 5.349 4.118 3.416
Cl 4.428 2.109 5.447
Cl 1.440 2.109 6.871
Cl 1.848 5.728 -0.084
Cl 4.292 3.230 1.198
Cl 4.836 5.728 -1.508
Cl 1.092 0.794 2.293
Cl 5.184 7.043 3.070
Cl 1.984 4.606 4.166

Quick one: most stable of them? run ii

Run i
14
Lattice="-2.783 -6.517 -3.923 7.440 -1.987 2.510 0.127 -9.040 6.165" Properties=species:S:1:pos:R:3 comment="PuPaCl5 | Alexandria via LeMat-Bulk | PBE | relaxed" space_group="C2/c (15)" n_ef_per_ev_atom=1.6526 pbc="T T T"
Pu -0.851 -7.935 -1.186
Pu 5.635 -9.609 5.938
Pa 0.000 0.000 0.000
Pa 0.063 -4.520 3.082
Cl 2.059 -7.571 -1.356
Cl 2.079 -13.413 2.091
Cl 4.821 -10.895 3.425
Cl 7.013 -4.450 3.763
Cl -0.433 -10.070 3.730
Cl 5.216 -7.474 1.023
Cl -2.229 -13.094 0.989
Cl -0.037 -6.649 1.327
Cl 2.704 -4.132 2.661
Cl 2.724 -9.974 6.108

Run ii
14
Lattice="3.857 0.000 0.000 0.000 8.203 -0.646 0.000 -0.426 13.151" Properties=species:S:1:pos:R:3 comment="PuPaCl5 | Alexandria via LeMat-Bulk | PBE | relaxed" space_group="P2_1/m (11)" n_ef_per_ev_atom=1.5506 pbc="T T T"
Pu 2.893 0.759 1.842
Pu 0.964 7.018 10.663
Pa 0.964 3.301 4.238
Pa 2.893 4.477 8.266
Cl 0.964 0.514 3.965
Cl 2.893 0.737 12.149
Cl 2.893 2.436 6.166
Cl 0.964 2.830 1.490
Cl 0.964 2.685 9.096
Cl 2.893 5.092 3.409
Cl 2.893 4.947 11.015
Cl 0.964 5.342 6.339
Cl 0.964 7.040 0.356
Cl 2.893 7.264 8.540

Quick one: most stable of them? run ii